The following is a DFT calculation (PBE-GGA) of a geometry-optimized PmAg2Au structure.

Summary:
Total magnetization in Bohr magnetons per cell: 0.0
ΔE to the lowest computed polymorph in eV per atom: 0.153
Energy relative to the elements in meV/atom: -247

Cell lengths 4.293, 4.293, 4.832 Å; angles 90.00, 90.00, 90.00 degrees
Space group P4/mmm (No. 123)
One atom of each set of equivalent atoms:
Pm: 0.000 0.000 0.000
Ag: 0.000 0.500 0.500
Au: 0.500 0.500 0.000